Record 1
DFT (SCAN) results for a PBEsol-optimized structure of Mg5In3.

As for the mass density: 4.339 Mg/m³. The energy of formation is -168 meV per atom. The calculation puts the volume at 357 Å³ per cell. The relative energy among the computed polymorphs comes out at 0 meV/atom.

The space group is Cmmm (No. 65) and the conventional cell measures 8.7576, 9.0338 and 4.5083 Å, with angles of 90.00, 90.00 and 90.00 degrees. The inequivalent atoms are Mg at (0.0000, 0.0000, 0.0000), Mg at (0.2390, 0.5000, 0.5000), Mg at (0.2500, 0.2500, 0.0000), In at (0.0000, 0.2339, 0.5000) and In at (0.0000, 0.5000, 0.0000).



Record 2
DFT (SCAN) results for a PBEsol-optimized structure of MgIn.

As for the mass density: 4.959 Mg/m³. The energy of formation is -110 meV per atom. The calculation puts the volume at 47 Å³ per cell.

The space group is P-6m2 (No. 187) and the conventional cell measures 3.3490, 3.3490 and 4.7959 Å, with angles of 90.00, 90.00 and 120.00 degrees. The inequivalent atoms are Mg at (0.0000, 0.0000, 0.0000) and In at (0.3333, 0.6667, 0.5000).



Record 3
DFT (SCAN) results for a PBEsol-optimized structure of Mg3In.

As for the mass density: 3.511 Mg/m³. The energy of formation is -134 meV per atom. The calculation puts the volume at 178 Å³ per cell.

The space group is I4/mmm (No. 139) and the conventional cell measures 4.5088, 4.5088 and 8.7353 Å, with angles of 90.00, 90.00 and 90.00 degrees. The inequivalent atoms are Mg at (0.0000, 0.0000, 0.0000), Mg at (0.0000, 0.5000, 0.2500) and In at (0.0000, 0.0000, 0.5000).



Record 4
DFT (SCAN) results for a PBEsol-optimized structure of Mg3In.

As for the mass density: 3.463 Mg/m³. The energy of formation is -104 meV per atom. The calculation puts the volume at 180 Å³ per cell.

The space group is C2/m (No. 12) and the conventional cell measures 10.3283, 3.2191 and 5.5061 Å, with angles of 90.00, 100.40 and 90.00 degrees. The inequivalent atoms are Mg at (0.0000, 0.0000, 0.0000), Mg at (0.2481, 0.0000, 0.7502) and In at (0.0000, 0.5000, 0.5000).



Record 5
DFT (SCAN) results for a PBEsol-optimized structure of Mg3In.

As for the mass density: 3.443 Mg/m³. The energy of formation is -59 meV per atom. The calculation puts the volume at 272 Å³ per cell.

The space group is R-3m (No. 166, hexagonal axes) and the conventional cell measures 10.0511, 10.0511 and 3.1045 Å, with angles of 90.00, 90.00 and 120.00 degrees. The inequivalent atoms are Mg at (0.0000, 0.5000, 0.0000) and In at (0.0000, 0.0000, 0.0000).



Record 6
DFT (SCAN) results for a PBEsol-optimized structure of Mg3In.

As for the mass density: 3.273 Mg/m³. The energy of formation is -84 meV per atom. The calculation puts the volume at 381 Å³ per cell.

The space group is Pnma (No. 62) and the conventional cell measures 7.7678, 8.5966 and 5.7046 Å, with angles of 90.00, 90.00 and 90.00 degrees. The inequivalent atoms are Mg at (0.0163, 0.2500, 0.0718), Mg at (0.1848, 0.0551, 0.6376) and In at (0.1145, 0.7500, 0.4532).



Record 7
DFT (SCAN) results for a PBEsol-optimized structure of Mg3In.

As for the mass density: 3.381 Mg/m³. The energy of formation is -113 meV per atom. The calculation puts the volume at 553 Å³ per cell.

The space group is P6_3cm (No. 185) and the conventional cell measures 8.4022, 8.4022 and 9.0494 Å, with angles of 90.00, 90.00 and 120.00 degrees. The inequivalent atoms are Mg at (0.0000, 0.0000, 0.2587), Mg at (0.0000, 0.2682, 0.0000), Mg at (0.0000, 0.3716, 0.3363), Mg at (0.3333, 0.6667, 0.0723) and In at (0.0000, 0.3333, 0.6729).



Record 8
DFT (SCAN) results for a PBEsol-optimized structure of MgIn5.

As for the mass density: 6.750 Mg/m³. The energy of formation is -14 meV per atom. The calculation puts the volume at 294 Å³ per cell.

The space group is Cmmm (No. 65) and the conventional cell measures 4.4798, 14.6302 and 4.4921 Å, with angles of 90.00, 90.00 and 90.00 degrees. The inequivalent atoms are Mg at (0.0000, 0.0000, 0.0000), In at (0.0000, 0.1626, 0.5000), In at (0.0000, 0.3368, 0.0000) and In at (0.0000, 0.5000, 0.5000).



Question: Among the records above, which one has the highest mass density?
Answer: MgIn5



Question: The highest mass density belongs to which entry?
Answer: MgIn5